Record 1
DFT (PBE) results for Na2CaZn after structural relaxation.

Unit cell a=3.6132 b=3.6132 c=12.0679 alpha=81.39 beta=81.39 gamma=60.00
Last column: nearest neighbours and their distance in Å.
Fractional positions:
1 Na 0.0996 0.0996 0.7013  3 Zn 3.17, 1 Ca 3.55
2 Na 0.9004 0.9004 0.2987  3 Zn 3.17, 1 Ca 3.55
3 Zn 0.5000 0.5000 0.5000  6 Na 3.17
4 Ca 0.0000 0.0000 0.0000  2 Na 3.55, 6 Ca 3.61

DFT formation energy ... 0.203 eV per atom
VASP energy ... -1.28 eV per atom
D(E_F) ... 0.405 states/eV per atom


Record 2
DFT (PBE) results for NaCa2Zr after structural relaxation.

Unit cell a=3.4023 b=3.4023 c=13.1569 alpha=82.57 beta=82.57 gamma=60.00
Last column: nearest neighbours and their distance in Å.
Fractional positions:
1 Na 0.5000 0.5000 0.5000  6 Na 3.40, 6 Ca 3.80
2 Ca 0.0832 0.0832 0.7504  1 Zr 3.25, 6 Ca 3.40
3 Ca 0.9168 0.9168 0.2496  1 Zr 3.25, 6 Ca 3.40
4 Zr 0.0000 0.0000 0.0000  2 Ca 3.25, 6 Zr 3.40

DFT formation energy ... 0.473 eV per atom
VASP energy ... -2.99 eV per atom
D(E_F) ... 1.178 states/eV per atom


Record 3
DFT (PBE) results for NaCaZr2 after structural relaxation.

Unit cell a=4.2085 b=4.2085 c=12.7695 alpha=80.52 beta=80.52 gamma=90.00
Last column: nearest neighbours and their distance in Å.
Fractional positions:
1 Na 0.5000 0.5000 0.0000  4 Ca 2.98
2 Na 0.2500 0.7500 0.5000  4 Ca 2.98
3 Ca 0.0000 0.0000 0.0000  4 Na 2.98
4 Ca 0.7500 0.2500 0.5000  4 Na 2.98
5 Zr 0.1302 0.1250 0.2500  4 Zr 2.94-3.01
6 Zr 0.6198 0.6250 0.2500  4 Zr 2.94-3.01
7 Zr 0.3750 0.8698 0.7500  4 Zr 2.94-3.01
8 Zr 0.8750 0.3802 0.7500  4 Zr 2.94-3.01

DFT formation energy ... 0.677 eV per atom
VASP energy ... -4.43 eV per atom
D(E_F) ... 1.717 states/eV per atom


Record 4
DFT (PBE) results for NaCa3Zr after structural relaxation.

Unit cell a=6.1331 b=6.1331 c=6.1331 alpha=90.00 beta=90.00 gamma=90.00
Last column: nearest neighbours and their distance in Å.
Fractional positions:
1 Na 0.5000 0.5000 0.5000  12 Ca 4.34
2 Ca 0.0000 0.5000 0.0000  2 Zr 3.07
3 Ca 0.0000 0.0000 0.5000  2 Zr 3.07
4 Ca 0.5000 0.0000 0.0000  2 Zr 3.07
5 Zr 0.0000 0.0000 0.0000  6 Ca 3.07

DFT formation energy ... 0.757 eV per atom
VASP energy ... -2.42 eV per atom
D(E_F) ... 1.475 states/eV per atom